! BeInHg2, optimized geometry, DFT PBE; values from VASP
&SYSTEM
  ibrav = 0, nat = 4, ntyp = 3
/
ATOMIC_SPECIES
Be 9.01 Be.upf
In 114.82 In.upf
Hg 200.59 Hg.upf
CELL_PARAMETERS angstrom
1.681 0.971 8.548
-1.681 0.971 8.548
0.000 -1.941 8.548
ATOMIC_POSITIONS angstrom
Be 0.000 0.000 0.000
In 0.000 0.000 12.823
Hg 0.000 0.000 6.859
Hg 0.000 0.000 18.786
! **Energy above the lowest structure with this stoichiometry**: 0.0305 eV/atom
! **Formation energy**: 0.27 eV/atom
! **Raw total energy**: -1.4974 eV/atom
! **Spin magnetization**: 0.00 μB per formula unit
! **SG**: R-3m, No. 166
! **Crystal system**: trigonal


! BeInHg2, optimized geometry, DFT PBE; values from VASP
&SYSTEM
  ibrav = 0, nat = 4, ntyp = 3
/
ATOMIC_SPECIES
Be 9.01 Be.upf
In 114.82 In.upf
Hg 200.59 Hg.upf
CELL_PARAMETERS angstrom
-1.524 2.828 4.997
1.524 -2.828 4.997
1.524 2.828 -4.997
ATOMIC_POSITIONS angstrom
Be 0.000 0.000 0.000
In 0.000 0.000 4.997
Hg 1.524 0.000 1.978
Hg 0.000 2.828 3.020
! **Energy above the lowest structure with this stoichiometry**: 0.0862 eV/atom
! **Formation energy**: 0.33 eV/atom
! **Raw total energy**: -1.4418 eV/atom
! **Spin magnetization**: 0.00 μB per formula unit
! **SG**: Immm, No. 71
! **Crystal system**: orthorhombic


! BeInHg2, optimized geometry, DFT PBE; values from VASP
&SYSTEM
  ibrav = 0, nat = 4, ntyp = 3
/
ATOMIC_SPECIES
Be 9.01 Be.upf
In 114.82 In.upf
Hg 200.59 Hg.upf
CELL_PARAMETERS angstrom
0.000 3.522 3.522
3.522 0.000 3.522
3.522 3.522 0.000
ATOMIC_POSITIONS angstrom
Be 0.000 0.000 0.000
In 3.522 3.522 3.522
Hg 1.761 1.761 1.761
Hg 5.283 5.283 5.283
! **Energy above the lowest structure with this stoichiometry**: 0.2565 eV/atom
! **Formation energy**: 0.50 eV/atom
! **Raw total energy**: -1.2714 eV/atom
! **Spin magnetization**: 0.00 μB per formula unit
! **SG**: Fm-3m, No. 225
! **Crystal system**: cubic